InGaAs2O8: relaxed, PBE.

Computed properties:
Raw total energy in eV per atom: -5.823
Uncorrected formation energy in eV per atom: -1.262

Cell lengths 6.766, 6.766, 6.229 Å; angles 90.00, 90.00, 90.00 degrees
Space group I-4m2 (No. 119)
Symmetry-distinct sites (fractional):
In1 0.000 0.000 0.000 x2
Ga1 0.000 0.500 0.250 x2
As1 0.000 0.000 0.500 x2
As2 0.000 0.500 0.750 x2
O1 0.000 0.192 0.316 x8
O2 0.000 0.318 0.942 x8